No. 1
This record from Alexandria via LeMat-Bulk describes crystalline KRe2Tc at its relaxed geometry. The functional is PBE-GGA.

The value obtained for the volume is 22.398 Å³ per atom. As for the formation energy from the elements: 1.058 eV/atom.

The structure belongs to space group C2/m (No. 12); the cell edges are 9.3936, 2.7876 and 6.8904 Å and the angles 90.00°, 96.74° and 90.00°. The asymmetric unit holds K at (0.0000, 0.0000, 0.0000), Re at (0.2190, 0.0000, 0.6412) and Tc at (0.0000, 0.5000, 0.5000).

No. 2
This record from Alexandria via LeMat-Bulk describes crystalline PaCuRh2 at its relaxed geometry. The functional is PBE-GGA.

The value obtained for the volume is 16.505 Å³ per atom. As for the formation energy from the elements: -0.735 eV/atom.

The structure belongs to space group P4/mmm (No. 123); the cell edges are 4.1792, 4.1792 and 3.7799 Å and the angles 90.00°, 90.00° and 90.00°. The asymmetric unit holds Pa at (0.0000, 0.0000, 0.0000), Cu at (0.5000, 0.5000, 0.0000) and Rh at (0.0000, 0.5000, 0.5000).

No. 3
This record from Alexandria via LeMat-Bulk describes crystalline DyLu3H at its relaxed geometry. The functional is PBE-GGA.

The value obtained for the volume is 23.377 Å³ per atom. As for the uncorrected energy: -22.235 eV per cell.

The structure belongs to space group Pm-3m (No. 221); the cell edges are 4.8894, 4.8894 and 4.8894 Å and the angles 90.00°, 90.00° and 90.00°. The asymmetric unit holds Dy at (0.0000, 0.0000, 0.0000), Lu at (0.0000, 0.5000, 0.5000) and H at (0.5000, 0.5000, 0.5000).

No. 4
This record from Alexandria via LeMat-Bulk describes crystalline PmNpCoS4 at its relaxed geometry. The functional is PBE-GGA.

The value obtained for the volume is 19.543 Å³ per atom. As for the formation energy from raw total energies: -871.1 kJ/mol of formula units.

The structure belongs to space group P2_1/m (No. 11); the cell edges are 6.4589, 5.6769 and 7.7720 Å and the angles 90.00°, 106.24° and 90.00°. The asymmetric unit holds Pm at (0.2363, 0.2500, 0.4343), Np at (0.2514, 0.2500, 0.9425), Co at (0.2641, 0.7500, 0.1747), S at (0.0708, 0.7500, 0.3736), S at (0.0753, 0.7500, 0.8979) and S at (0.4830, 0.5097, 0.7501).

No. 5
This record from Alexandria via LeMat-Bulk describes crystalline BaGaP2Cl at its relaxed geometry. The functional is PBE-GGA.

The value obtained for the volume is 46.339 Å³ per atom. As for the formation energy from raw total energies: 206.1 kJ/mol of formula units.

The structure belongs to space group P4/mmm (No. 123); the cell edges are 6.2810, 6.2810 and 5.8730 Å and the angles 90.00°, 90.00° and 90.00°. The asymmetric unit holds Ba at (0.0000, 0.0000, 0.0000), Ga at (0.5000, 0.5000, 0.5000), P at (0.0000, 0.5000, 0.0000) and Cl at (0.0000, 0.0000, 0.5000).

No. 6
This record from Alexandria via LeMat-Bulk describes crystalline Li3Zn2Cu at its relaxed geometry. The functional is PBE-GGA.

The value obtained for the volume is 14.238 Å³ per atom. As for the formation energy from the elements: 0.038 eV/atom.

The structure belongs to space group P-3m1 (No. 164); the cell edges are 4.9975, 4.9975 and 7.8994 Å and the angles 90.00°, 90.00° and 120.00°. The asymmetric unit holds Li at (0.1744, 0.3487, 0.2454), Zn at (0.0000, 0.0000, 0.0000), Zn at (0.0000, 0.0000, 0.5000), Zn at (0.3333, 0.6667, 0.5745) and Cu at (0.3333, 0.6667, 0.9267).

No. 7
This record from Alexandria via LeMat-Bulk describes crystalline AcZnPd3Au at its relaxed geometry. The functional is PBE-GGA.

The value obtained for the volume is 21.406 Å³ per atom. As for the formation energy from the elements: -0.421 eV/atom.

The structure belongs to space group Cmcm (No. 63); the cell edges are 6.9213, 12.4254 and 5.9738 Å and the angles 90.00°, 90.00° and 90.00°. The asymmetric unit holds Ac at (0.0000, 0.2021, 0.2500), Zn at (0.0000, 0.1319, 0.7500), Pd at (0.0000, 0.3336, 0.7500), Pd at (0.1957, 0.0000, 0.0000) and Au at (0.0000, 0.4399, 0.2500).

No. 8
This record from Alexandria via LeMat-Bulk describes crystalline Ti2PIr2 at its relaxed geometry. The functional is PBE-GGA.

The value obtained for the volume is 17.596 Å³ per atom. As for the formation energy from the elements: -0.241 eV/atom.

The structure belongs to space group I4/mmm (No. 139); the cell edges are 3.7195, 3.7195 and 12.7186 Å and the angles 90.00°, 90.00° and 90.00°. The asymmetric unit holds Ti at (0.0000, 0.0000, 0.1137), P at (0.0000, 0.0000, 0.5000) and Ir at (0.0000, 0.5000, 0.2500).

Mass density readings, ordered: 9.444, 12.586, 9.780, 6.909, 2.182, 4.183, 10.455, 9.648 g/cm3